Entry 1:
Material: MgHg
Method: DFT, GGA-PBE
State: optimized geometry

```
2
Lattice="1.694 0.978 4.543 -1.694 0.978 4.543 0.000 -1.956 4.543" Properties=species:S:1:pos:R:3 pbc="T T T"
Mg 0.000 0.000 0.000
Hg 0.000 0.000 6.815
```

Summary:
DOS at the Fermi energy   0.363 states/eV per cell
E_tot   -2.24 eV per cell
ΔE_f   -0.1703 eV per atom
Magnetization   0.0 μB per cell



Entry 2:
Material: MgHg2
Method: DFT, GGA-PBE
State: optimized geometry

```
3
Lattice="-1.912 2.016 4.409 1.912 -2.016 4.409 1.912 2.016 -4.409" Properties=species:S:1:pos:R:3 pbc="T T T"
Mg 0.000 0.000 0.000
Hg 0.000 0.000 2.936
Hg 0.000 0.000 5.883
```

Summary:
DOS at the Fermi energy   0.693 states/eV per cell
E_tot   -2.58 eV per cell
ΔE_f   -0.1275 eV per atom
Magnetization   0.0 μB per cell



Entry 3:
Material: MgHg
Method: DFT, GGA-PBE
State: optimized geometry

```
2
Lattice="3.397 0.000 0.000 -1.699 2.942 0.000 0.000 0.000 4.503" Properties=species:S:1:pos:R:3 pbc="T T T"
Mg 0.000 0.000 0.000
Hg 1.699 0.981 2.251
```

Summary:
DOS at the Fermi energy   0.695 states/eV per cell
E_tot   -2.22 eV per cell
ΔE_f   -0.1616 eV per atom
Magnetization   0.0 μB per cell



Entry 4:
Material: Mg2Hg
Method: DFT, GGA-PBE
State: optimized geometry

```
9
Lattice="7.978 0.000 0.000 -3.989 6.909 0.000 0.000 0.000 3.558" Properties=species:S:1:pos:R:3 pbc="T T T"
Mg -1.114 1.929 0.000
Mg -2.468 4.276 1.779
Mg 2.227 0.000 0.000
Mg 1.520 2.633 1.779
Mg 4.937 0.000 1.779
Mg 2.875 4.980 0.000
Hg 0.000 0.000 1.779
Hg 0.000 4.606 0.000
Hg 3.989 2.303 0.000
```

Summary:
DOS at the Fermi energy   4.298 states/eV per cell
E_tot   -12.22 eV per cell
ΔE_f   -0.1943 eV per atom
Magnetization   0.0 μB per cell



Entry 5:
Material: MgHg3
Method: DFT, GGA-PBE
State: optimized geometry

```
16
Lattice="6.467 0.000 0.000 0.000 9.650 0.000 0.000 0.000 6.208" Properties=species:S:1:pos:R:3 pbc="T T T"
Mg 0.679 2.412 0.665
Mg 2.555 7.237 3.769
Mg 3.913 2.412 2.439
Mg 5.788 7.237 5.543
Hg 0.158 2.412 3.785
Hg 1.303 5.001 5.266
Hg 1.303 9.474 5.266
Hg 1.930 0.176 2.162
Hg 1.930 4.649 2.162
Hg 3.075 7.237 0.681
Hg 3.392 2.412 5.527
Hg 4.537 5.001 4.046
Hg 4.537 9.474 4.046
Hg 5.164 0.176 0.942
Hg 5.164 4.649 0.942
Hg 6.309 7.237 2.423
```

Summary:
DOS at the Fermi energy   7.310 states/eV per cell
E_tot   -11.20 eV per cell
ΔE_f   -0.0748 eV per atom
Magnetization   0.0 μB per cell



Entry 6:
Material: Mg2Hg
Method: DFT, GGA-PBE
State: optimized geometry

```
3
Lattice="4.710 0.000 0.000 0.000 4.710 0.000 0.000 0.000 3.416" Properties=species:S:1:pos:R:3 pbc="T T T"
Mg 0.000 2.355 0.000
Mg 2.355 0.000 0.000
Hg 0.000 0.000 1.708
```

Summary:
DOS at the Fermi energy   0.893 states/eV per cell
E_tot   -3.66 eV per cell
ΔE_f   -0.0576 eV per atom
Magnetization   0.0 μB per cell



Entry 7:
Material: MgHg2
Method: DFT, GGA-PBE
State: optimized geometry

```
6
Lattice="0.000 4.210 4.210 4.210 0.000 4.210 4.210 4.210 0.000" Properties=species:S:1:pos:R:3 pbc="T T T"
Mg 1.052 1.052 1.052
Mg 7.367 7.367 7.367
Hg 4.210 2.105 2.105
Hg 2.105 4.210 2.105
Hg 2.105 2.105 4.210
Hg 4.210 4.210 4.210
```

Summary:
DOS at the Fermi energy   3.821 states/eV per cell
E_tot   -3.76 eV per cell
ΔE_f   0.1060 eV per atom
Magnetization   0.0 μB per cell



Entry 8:
Material: MgHg2
Method: DFT, GGA-PBE
State: optimized geometry

```
6
Lattice="5.130 0.000 0.000 -2.565 4.443 0.000 0.000 0.000 6.016" Properties=species:S:1:pos:R:3 pbc="T T T"
Mg 0.000 2.962 1.504
Mg 2.565 1.481 4.512
Hg 0.000 0.000 0.000
Hg 0.000 0.000 3.008
Hg 0.000 2.962 4.512
Hg 2.565 1.481 1.504
```

Summary:
DOS at the Fermi energy   2.127 states/eV per cell
E_tot   -4.96 eV per cell
ΔE_f   -0.0942 eV per atom
Magnetization   0.0 μB per cell



Entry 9:
Material: MgHg2
Method: DFT, GGA-PBE
State: optimized geometry

```
12
Lattice="6.058 0.000 0.000 0.000 5.032 0.000 0.000 0.000 8.984" Properties=species:S:1:pos:R:3 pbc="T T T"
Mg 1.044 1.258 1.224
Mg 1.985 3.774 5.715
Mg 4.073 1.258 3.268
Mg 5.014 3.774 7.760
Hg 0.616 1.258 7.275
Hg 0.957 1.258 4.135
Hg 2.072 3.774 8.627
Hg 2.412 3.774 2.783
Hg 3.645 1.258 6.200
Hg 3.986 1.258 0.357
Hg 5.101 3.774 4.848
Hg 5.441 3.774 1.708
```

Summary:
DOS at the Fermi energy   2.685 states/eV per cell
E_tot   -10.32 eV per cell
ΔE_f   -0.1270 eV per atom
Magnetization   0.0 μB per cell



Entry 10:
Material: MgHg12
Method: DFT, GGA-PBE
State: optimized geometry

```
13
Lattice="-4.381 4.381 4.381 4.381 -4.381 4.381 4.381 4.381 -4.381" Properties=species:S:1:pos:R:3 pbc="T T T"
Mg 0.000 0.000 0.000
Hg 4.381 2.822 -1.590
Hg 2.791 0.000 1.559
Hg 5.971 0.000 1.559
Hg 1.559 2.791 0.000
Hg 2.822 -1.590 4.381
Hg 0.000 1.559 2.791
Hg 4.381 2.822 1.590
Hg 1.559 5.971 0.000
Hg 2.822 1.590 4.381
Hg -1.590 4.381 2.822
Hg 1.590 4.381 2.822
Hg 0.000 1.559 5.971
```

Summary:
DOS at the Fermi energy   4.519 states/eV per cell
E_tot   -5.30 eV per cell
ΔE_f   -0.0066 eV per atom
Magnetization   0.0 μB per cell



Entry 11:
Material: MgHg2
Method: DFT, GGA-PBE
State: optimized geometry

```
6
Lattice="-3.344 3.344 3.250 3.344 -3.344 3.250 3.344 3.344 -3.250" Properties=species:S:1:pos:R:3 pbc="T T T"
Mg 0.000 0.000 1.625
Mg 0.000 0.000 4.875
Hg 4.429 1.086 0.000
Hg 1.086 2.258 0.000
Hg 2.258 1.086 3.250
Hg -1.086 2.258 3.250
```

Summary:
DOS at the Fermi energy   2.170 states/eV per cell
E_tot   -4.96 eV per cell
ΔE_f   -0.0932 eV per atom
Magnetization   0.0 μB per cell



Entry 12:
Material: Mg5Hg6
Method: DFT, GGA-PBE
State: optimized geometry

```
11
Lattice="-2.476 3.342 7.448 2.476 -3.342 7.448 2.476 3.342 -7.448" Properties=species:S:1:pos:R:3 pbc="T T T"
Mg 0.000 0.000 0.000
Mg 2.476 0.000 2.441
Mg 0.000 0.000 4.884
Mg 0.000 0.000 10.013
Mg 0.000 3.342 5.008
Hg 2.476 -1.600 5.081
Hg 2.476 1.800 0.000
Hg 0.000 1.742 2.367
Hg 2.476 1.600 5.081
Hg 0.000 1.542 7.448
Hg 0.000 4.941 2.367
```

Summary:
DOS at the Fermi energy   3.206 states/eV per cell
E_tot   -11.80 eV per cell
ΔE_f   -0.1832 eV per atom
Magnetization   0.0 μB per cell



> What is the formula in the eleventh record?

MgHg2